# CeDyTl (GGA-PBE, relaxed)
# * polymorph energy (0 for the lowest one): 138 meV per atom
# * ΔH_f (0 K): -0.047 eV/atom
# * uncorrected energy: -0.3195 Ry per atom
data_CeDyTl
_chemical_formula_sum 'Ce6 Dy6 Tl6'
_cell_length_a 5.1335
_cell_length_b 5.1335
_cell_length_c 23.9979
_cell_angle_alpha 90.00
_cell_angle_beta 90.00
_cell_angle_gamma 120.00
_symmetry_space_group_name_H-M 'R -3 m'
_symmetry_Int_Tables_number 166
_symmetry_space_group_name_Hall '-R 3 2"'
loop_
_atom_site_label
_atom_site_type_symbol
_atom_site_fract_x
_atom_site_fract_y
_atom_site_fract_z
_atom_site_occupancy
Ce1 Ce 0.0000 0.0000 0.1449 1
Dy1 Dy 0.0000 0.0000 0.2882 1
Tl1 Tl 0.0000 0.0000 0.4238 1